No. 1
# SmZr2Ni9, optimized geometry, DFT PBE
# Volume in Å³/cell: 167
# Calculated formation energy in kJ/mol of atoms: -39.2
# DFT total energy in eV/atom: -6.561
# Space group: No. 166
data_SmZr2Ni9
_chemical_formula_sum 'Sm1 Zr2 Ni9'
_symmetry_space_group_name_H-M 'P 1'
_symmetry_Int_Tables_number 1
_cell_length_a 4.917
_cell_length_b 4.917
_cell_length_c 8.464
_cell_angle_alpha 73.11
_cell_angle_beta 73.11
_cell_angle_gamma 60.00
loop_
_symmetry_equiv_pos_as_xyz
'x,y,z'
loop_
_atom_site_label
_atom_site_fract_x
_atom_site_fract_y
_atom_site_fract_z
Sm1 0.000 0.000 0.000
Ni1 0.588 0.081 0.743
Ni2 0.919 0.412 0.257
Ni3 0.081 0.588 0.743
Ni4 0.666 0.666 0.001
Ni5 0.588 0.588 0.743
Ni6 0.412 0.919 0.257
Ni7 0.334 0.334 0.999
Ni8 0.412 0.412 0.257
Ni9 0.500 0.500 0.500
Zr1 0.140 0.140 0.580
Zr2 0.860 0.860 0.420

---

No. 2
# GaBi2I, optimized geometry, DFT PBE
# Volume in Å³/cell: 332
# ΔE_f (raw) in eV/f.u.: 1.07
# DFT total energy in eV/atom: -2.816
# Space group: No. 122
data_GaBi2I
_chemical_formula_sum 'Ga2 Bi4 I2'
_symmetry_space_group_name_H-M 'P 1'
_symmetry_Int_Tables_number 1
_cell_length_a 7.522
_cell_length_b 7.522
_cell_length_c 7.913
_cell_angle_alpha 61.62
_cell_angle_beta 61.62
_cell_angle_gamma 90.00
loop_
_symmetry_equiv_pos_as_xyz
'x,y,z'
loop_
_atom_site_label
_atom_site_fract_x
_atom_site_fract_y
_atom_site_fract_z
Bi1 0.564 0.125 0.250
Bi2 0.375 0.436 0.750
Bi3 0.875 0.814 0.750
Bi4 0.186 0.625 0.250
Ga1 0.500 0.500 0.000
Ga2 0.250 0.750 0.500
I1 0.750 0.250 0.500
I2 0.000 0.000 0.000

---

No. 3
# Th3Se3S2, optimized geometry, DFT PBE
# Volume in Å³/cell: 414
# ΔE_f (raw) in eV/f.u.: -13.62
# DFT total energy in eV/atom: -6.824
# Space group: No. 63
data_Th3Se3S2
_chemical_formula_sum 'Th6 Se6 S4'
_symmetry_space_group_name_H-M 'P 1'
_symmetry_Int_Tables_number 1
_cell_length_a 4.029
_cell_length_b 7.193
_cell_length_c 14.877
_cell_angle_alpha 90.00
_cell_angle_beta 90.00
_cell_angle_gamma 106.27
loop_
_symmetry_equiv_pos_as_xyz
'x,y,z'
loop_
_atom_site_label
_atom_site_fract_x
_atom_site_fract_y
_atom_site_fract_z
Se1 0.956 0.911 0.111
Se2 0.044 0.089 0.611
Se3 0.675 0.351 0.250
Se4 0.044 0.089 0.889
Se5 0.956 0.911 0.389
Se6 0.325 0.649 0.750
S1 0.250 0.501 0.085
S2 0.250 0.501 0.415
S3 0.750 0.499 0.915
S4 0.750 0.499 0.585
Th1 0.341 0.683 0.250
Th2 0.616 0.232 0.445
Th3 0.659 0.317 0.750
Th4 0.384 0.768 0.555
Th5 0.616 0.232 0.055
Th6 0.384 0.768 0.945

---

No. 4
# RbBe2B3O7, optimized geometry, DFT PBE
# Volume in Å³/cell: 618
# ΔE_f (raw) in eV/f.u.: -32.72
# DFT total energy in eV/atom: -7.375
# Space group: No. 31
data_RbBe2B3O7
_chemical_formula_sum 'Rb4 Be8 B12 O28'
_symmetry_space_group_name_H-M 'P 1'
_symmetry_Int_Tables_number 1
_cell_length_a 4.434
_cell_length_b 7.760
_cell_length_c 17.967
_cell_angle_alpha 90.00
_cell_angle_beta 90.00
_cell_angle_gamma 90.00
loop_
_symmetry_equiv_pos_as_xyz
'x,y,z'
loop_
_atom_site_label
_atom_site_fract_x
_atom_site_fract_y
_atom_site_fract_z
O1 0.667 0.000 0.988
O2 0.786 0.156 0.488
O3 0.702 0.655 0.006
O4 0.352 0.707 0.124
O5 0.162 0.500 0.669
O6 0.423 0.745 0.375
O7 0.286 0.344 0.512
O8 0.488 0.801 0.242
O9 0.852 0.793 0.876
O10 0.167 0.500 0.012
O11 0.923 0.755 0.625
O12 0.662 0.000 0.331
O13 0.988 0.699 0.758
O14 0.423 0.255 0.375
O15 0.988 0.301 0.758
O16 0.202 0.155 0.994
O17 0.749 0.500 0.525
O18 0.786 0.844 0.488
O19 0.702 0.345 0.006
O20 0.956 0.000 0.775
O21 0.202 0.845 0.994
O22 0.352 0.293 0.124
O23 0.488 0.199 0.242
O24 0.923 0.245 0.625
O25 0.249 0.000 0.475
O26 0.852 0.207 0.876
O27 0.286 0.656 0.512
O28 0.456 0.500 0.225
B1 0.518 0.158 0.318
B2 0.926 0.165 0.807
B3 0.018 0.658 0.682
B4 0.937 0.000 0.482
B5 0.426 0.335 0.193
B6 0.856 0.500 0.009
B7 0.926 0.835 0.807
B8 0.426 0.665 0.193
B9 0.018 0.342 0.682
B10 0.437 0.500 0.518
B11 0.356 0.000 0.991
B12 0.518 0.842 0.318
Be1 0.435 0.813 0.460
Be2 0.853 0.824 0.963
Be3 0.435 0.187 0.460
Be4 0.353 0.324 0.037
Be5 0.935 0.313 0.540
Be6 0.935 0.687 0.540
Be7 0.853 0.176 0.963
Be8 0.353 0.676 0.037
Rb1 0.953 0.500 0.357
Rb2 0.423 0.500 0.851
Rb3 0.453 0.000 0.643
Rb4 0.923 0.000 0.149

---

No. 5
# SiAgPt2, optimized geometry, DFT PBE
# Volume in Å³/cell: 67
# ΔE_f (raw) in eV/f.u.: -1.21
# DFT total energy in eV/atom: -5.392
# Space group: No. 12
data_SiAgPt2
_chemical_formula_sum 'Si1 Ag1 Pt2'
_symmetry_space_group_name_H-M 'P 1'
_symmetry_Int_Tables_number 1
_cell_length_a 3.700
_cell_length_b 3.700
_cell_length_c 6.891
_cell_angle_alpha 81.70
_cell_angle_beta 81.70
_cell_angle_gamma 45.67
loop_
_symmetry_equiv_pos_as_xyz
'x,y,z'
loop_
_atom_site_label
_atom_site_fract_x
_atom_site_fract_y
_atom_site_fract_z
Ag1 0.750 0.750 0.750
Pt1 0.513 0.513 0.450
Pt2 0.987 0.987 0.050
Si1 0.250 0.250 0.250

---

No. 6
# Tm5Tl2Tc2, optimized geometry, DFT PBE
# Volume in Å³/cell: 457
# Calculated formation energy in kJ/mol of atoms: -20.1
# DFT total energy in eV/atom: -5.522
# Space group: No. 64
data_Tm5Tl2Tc2
_chemical_formula_sum 'Tm10 Tl4 Tc4'
_symmetry_space_group_name_H-M 'P 1'
_symmetry_Int_Tables_number 1
_cell_length_a 7.294
_cell_length_b 7.389
_cell_length_c 9.239
_cell_angle_alpha 90.00
_cell_angle_beta 66.75
_cell_angle_gamma 90.00
loop_
_symmetry_equiv_pos_as_xyz
'x,y,z'
loop_
_atom_site_label
_atom_site_fract_x
_atom_site_fract_y
_atom_site_fract_z
Tm1 0.200 0.179 0.238
Tm2 0.000 0.000 0.000
Tm3 0.800 0.821 0.762
Tm4 0.061 0.679 0.238
Tm5 0.439 0.179 0.762
Tm6 0.300 0.679 0.762
Tm7 0.500 0.500 0.000
Tm8 0.700 0.321 0.238
Tm9 0.939 0.321 0.762
Tm10 0.561 0.821 0.238
Tc1 0.114 0.381 0.000
Tc2 0.886 0.619 0.000
Tc3 0.386 0.881 0.000
Tc4 0.614 0.119 0.000
Tl1 0.272 0.500 0.455
Tl2 0.772 0.000 0.455
Tl3 0.228 0.000 0.545
Tl4 0.728 0.500 0.545

---

No. 7
# SrSiPdPt, optimized geometry, DFT PBE
# Volume in Å³/cell: 88
# ΔE_f (raw) in eV/f.u.: -2.82
# DFT total energy in eV/atom: -5.289
# Space group: No. 44
data_SrSiPdPt
_chemical_formula_sum 'Sr1 Si1 Pd1 Pt1'
_symmetry_space_group_name_H-M 'P 1'
_symmetry_Int_Tables_number 1
_cell_length_a 4.126
_cell_length_b 4.245
_cell_length_c 5.846
_cell_angle_alpha 111.29
_cell_angle_beta 110.66
_cell_angle_gamma 90.00
loop_
_symmetry_equiv_pos_as_xyz
'x,y,z'
loop_
_atom_site_label
_atom_site_fract_x
_atom_site_fract_y
_atom_site_fract_z
Si1 0.216 0.716 0.432
Pd1 0.327 0.327 0.654
Pt1 0.603 0.603 0.206
Sr1 0.969 0.969 0.938

---

No. 8
# ZnCrSCl2, optimized geometry, DFT PBE
# Volume in Å³/cell: 106
# ΔE_f (raw) in eV/f.u.: -1.42
# DFT total energy in eV/atom: -4.027
# Space group: No. 123
data_ZnCrSCl2
_chemical_formula_sum 'Zn1 Cr1 S1 Cl2'
_symmetry_space_group_name_H-M 'P 1'
_symmetry_Int_Tables_number 1
_cell_length_a 4.702
_cell_length_b 4.800
_cell_length_c 4.702
_cell_angle_alpha 90.00
_cell_angle_beta 90.00
_cell_angle_gamma 90.00
loop_
_symmetry_equiv_pos_as_xyz
'x,y,z'
loop_
_atom_site_label
_atom_site_fract_x
_atom_site_fract_y
_atom_site_fract_z
Zn1 0.500 0.500 0.500
S1 0.000 0.500 0.000
Cl1 0.000 0.000 0.500
Cl2 0.500 0.000 0.000
Cr1 0.000 0.000 0.000